DFT (PBE) results for a geometry-optimized FeSi2Ru2 structure.

The structure in POSCAR format:
```
FeSi2Ru2
1.0
6.7988 0.0000 0.0000
0.0000 6.7988 0.0000
0.0000 0.0000 2.7963
Fe Si Ru
2 4 4
direct
0.0000 0.0000 0.0000
0.5000 0.5000 0.0000
0.1445 0.3555 0.0000
0.3555 0.8555 0.0000
0.6445 0.1445 0.0000
0.8555 0.6445 0.0000
0.1557 0.6557 0.5000
0.3443 0.1557 0.5000
0.6557 0.8443 0.5000
0.8443 0.3443 0.5000
```

- Total energy: -78.06 eV/cell
- Energy relative to the elements, uncorrected: -0.2343 eV/atom
- Total moment: 0.0 μB per cell

DFT (PBE) results for a geometry-optimized KHg2PtAu structure.

The structure in POSCAR format:
```
KHg2PtAu
1.0
5.3069 0.0000 0.0000
0.0000 5.3069 0.0000
0.0000 0.0000 5.3121
K Hg Pt Au
1 2 1 1
direct
0.0000 0.0000 0.0000
0.0000 0.5000 0.5000
0.5000 0.0000 0.5000
0.5000 0.5000 0.5000
0.5000 0.5000 0.0000
```

- Total energy: -11.98 eV/cell
- ΔE_f: -0.192 eV/atom
- Total moment: 0.0 μB per cell